1.
CsTaNb2Ir: relaxed, GGA-PBE.

Geometry as extended XYZ:
```
5
Lattice="5.083 0.000 0.000 0.000 5.036 0.000 0.000 0.000 5.083" Properties=species:S:1:pos:R:3 pbc="T T T"
Cs 2.542 2.518 2.542
Nb 0.000 0.000 2.542
Nb 2.542 0.000 0.000
Ir 0.000 0.000 0.000
Ta 0.000 2.518 0.000
```

Properties
The space group is No. 123. As for the magnetization: 0.8 μB per formula unit. The energy of formation comes out at 1311 meV per atom.

2.
CsZrNbIr2: relaxed, GGA-PBE.

Geometry as extended XYZ:
```
5
Lattice="-1.001 -2.245 4.277 -1.275 -4.127 -2.465 4.662 -1.593 0.255" Properties=species:S:1:pos:R:3 pbc="T T T"
Cs 0.000 0.000 0.000
Nb -0.638 -2.064 -1.233
Ir 2.331 -0.796 0.128
Ir -0.501 -1.123 2.138
Zr 1.193 -3.983 1.033
```

Properties
The space group is No. 123. As for the magnetization: 0.0 μB per formula unit. The energy of formation comes out at 2497 meV per atom.

3.
Cs2Nd2IrO6: relaxed, GGA-PBE.

Geometry as extended XYZ:
```
11
Lattice="6.027 0.009 0.116 -2.971 5.244 0.116 -1.021 -1.755 6.918" Properties=species:S:1:pos:R:3 pbc="T T T"
Cs 4.551 0.868 0.116
Cs -1.495 4.385 0.116
Nd -0.467 2.613 3.575
Nd 2.502 0.886 3.575
Ir -0.511 -0.878 3.459
O 1.632 2.805 4.739
O -1.429 0.658 4.581
O 0.403 0.693 2.410
O 1.278 -0.917 4.581
O 3.464 2.840 2.568
O 0.757 4.415 2.568
```

Properties
The space group is No. 12. As for the magnetization: 1.1 μB per formula unit. As for the electronic total energy: -71.43 eV for the cell shown.

4.
CsNdIrO6: relaxed, GGA-PBE.

Geometry as extended XYZ:
```
9
Lattice="-1.909 -2.780 -4.745 -3.195 -4.835 0.545 -5.419 3.592 0.073" Properties=species:S:1:pos:R:3 pbc="T T T"
Cs -10.523 -4.022 -4.127
Nd -6.112 -3.280 -2.763
Ir -4.411 -0.742 -1.363
O -3.040 -0.685 -0.051
O -4.482 1.140 -1.606
O -5.882 -0.952 -2.547
O -5.609 -0.600 0.103
O -4.353 -2.641 -1.343
O -3.100 -0.716 -2.737
```

Properties
The space group is No. 149. As for the magnetization: 0.8 μB per formula unit. As for the electronic total energy: -56.98 eV for the cell shown.

5.
Cs2NdIrO6: relaxed, GGA-PBE.

Geometry as extended XYZ:
```
10
Lattice="5.997 0.000 0.000 0.000 6.703 0.000 0.000 -3.351 5.805" Properties=species:S:1:pos:R:3 pbc="T T T"
Cs 0.755 0.000 3.870
Cs 5.242 3.351 1.935
Nd 2.998 0.000 0.000
Ir 0.000 0.000 0.000
O 4.807 0.000 1.533
O 4.807 -2.023 5.038
O 4.807 2.023 5.038
O 1.190 5.375 0.767
O 1.190 1.328 0.767
O 1.190 3.351 4.271
```

Properties
The space group is No. 164. As for the magnetization: 2.0 μB per formula unit. As for the electronic total energy: -60.28 eV for the cell shown.

6.
CsNd2IrO8: relaxed, GGA-PBE.

Geometry as extended XYZ:
```
12
Lattice="-2.999 -3.677 -0.634 1.084 -1.060 4.602 -6.559 3.720 3.171" Properties=species:S:1:pos:R:3 pbc="T T T"
Cs -3.279 1.860 1.586
Nd -5.984 0.816 4.272
Nd -2.490 -1.832 2.868
Ir 0.000 0.000 0.000
O -0.582 -0.480 3.780
O -7.513 0.037 5.873
O -3.201 -2.102 0.486
O -7.892 -0.537 3.360
O -0.961 -1.053 1.266
O -5.273 1.085 6.653
O -3.791 -0.211 4.099
O -4.683 -0.806 3.040
```

Properties
The space group is No. 2. As for the magnetization: 1.7 μB per formula unit. As for the electronic total energy: -80.08 eV for the cell shown.

7.
Cs2NdIr3O12: relaxed, GGA-PBE.

Geometry as extended XYZ:
```
18
Lattice="7.782 0.276 0.196 4.084 6.631 0.196 4.084 2.377 6.193" Properties=species:S:1:pos:R:3 pbc="T T T"
Cs 9.751 5.676 4.026
Cs 6.199 3.608 2.559
Nd 0.000 0.000 0.000
Ir 3.891 0.138 0.098
Ir 2.042 3.315 0.098
Ir 2.042 1.188 3.097
O 7.387 4.300 5.781
O 12.452 7.248 2.631
O 10.392 8.418 5.971
O 9.628 3.027 2.147
O 12.452 4.879 5.971
O 7.387 6.877 2.147
O 8.562 4.984 0.804
O 3.498 2.036 3.954
O 5.558 0.866 0.614
O 6.321 6.257 4.438
O 3.498 4.405 0.614
O 8.562 2.406 4.438
```

Properties
The space group is No. 166. As for the magnetization: 4.6 μB per formula unit. As for the electronic total energy: -113.74 eV for the cell shown.

8.
CsNi3Ir: relaxed, GGA-PBE.

Geometry as extended XYZ:
```
5
Lattice="-0.806 -0.492 4.523 4.520 -0.608 0.739 0.516 4.554 0.587" Properties=species:S:1:pos:R:3 pbc="T T T"
Cs 0.000 0.000 0.000
Ni 2.260 -0.304 0.369
Ni 0.258 2.277 0.294
Ni -0.403 -0.246 2.262
Ir 2.116 1.727 2.925
```

Properties
The space group is No. 221. As for the magnetization: 0.2 μB per formula unit. The energy of formation comes out at 2513 meV per atom. The energy relative to the lowest polymorph listed for this composition is 1538 meV per atom.